Model a:
Computed, not measured: a PBEsol-optimized structure of TlAsRu2 at the meta-GGA SCAN level of DFT.

Values from the calculation:
For the calculated volume, the calculation gives 145 Å³ per cell. The value obtained for the size of the total moment is 0.000 μB per cell.

a b c (Å): 7.166 2.965 7.244
angles (deg): 90.00 110.13 90.00
Space group C2/m (No. 12)
Inequivalent atoms, fractional coordinates:
Tl  0.000  0.000  0.000
As  0.000  0.500  0.500
Ru  0.226  0.500  0.327

---

Model b:
Computed, not measured: a PBEsol-optimized structure of TlAsRu2 at the meta-GGA SCAN level of DFT.

Values from the calculation:
For the calculated volume, the calculation gives 67 Å³ per cell. The value obtained for the size of the total moment is 0.000 μB per cell.

a b c (Å): 2.898 3.778 6.112
angles (deg): 90.00 90.00 90.00
Space group Pmm2 (No. 25)
Inequivalent atoms, fractional coordinates:
Tl  0.000  0.000  0.000
As  0.500  0.500  0.359
Ru  0.000  0.000  0.505
Ru  0.500  0.500  0.749

---

In meV per atom, relative to the most stable structure: model a 0; model b 170.

---

Model a:
Computed, not measured: a PBEsol-optimized structure of AsS at the meta-GGA SCAN level of DFT.

Values from the calculation:
For the calculated volume, the calculation gives 766 Å³ per cell. The value obtained for the size of the total moment is 0.000 μB per cell.

a b c (Å): 6.530 13.529 9.462
angles (deg): 90.00 113.65 90.00
Space group P2_1/c (No. 14)
Inequivalent atoms, fractional coordinates:
As  0.056  0.138  0.435
As  0.152  0.020  0.887
As  0.178  0.664  0.466
As  0.373  0.628  0.177
S  0.097  0.228  0.245
S  0.134  0.507  0.848
S  0.417  0.023  0.790
S  0.457  0.713  0.399

---

Model b:
Computed, not measured: a PBEsol-optimized structure of AsS at the meta-GGA SCAN level of DFT.

Values from the calculation:
For the calculated volume, the calculation gives 766 Å³ per cell. The value obtained for the size of the total moment is 0.000 μB per cell.

a b c (Å): 10.022 8.607 9.150
angles (deg): 90.00 104.03 90.00
Space group C2/c (No. 15)
Inequivalent atoms, fractional coordinates:
As  0.018  0.206  0.446
As  0.169  0.421  0.363
S  0.000  0.042  0.250
S  0.000  0.414  0.750
S  0.190  0.315  0.145

---

Model c:
Computed, not measured: a PBEsol-optimized structure of AsS at the meta-GGA SCAN level of DFT.

Values from the calculation:
For the calculated volume, the calculation gives 1314 Å³ per cell. The value obtained for the size of the total moment is 0.000 μB per cell.

a b c (Å): 10.100 7.447 17.465
angles (deg): 90.00 90.00 90.00
Space group Pca2_1 (No. 29)
Inequivalent atoms, fractional coordinates:
As  0.108  0.127  0.003
As  0.109  0.373  0.902
As  0.118  0.623  0.000
As  0.118  0.877  0.904
As  0.143  0.618  0.251
As  0.145  0.882  0.653
As  0.152  0.120  0.283
As  0.153  0.380  0.622
S  0.129  0.383  0.156
S  0.131  0.117  0.749
S  0.132  0.866  0.159
S  0.134  0.634  0.745
S  0.163  0.882  0.374
S  0.164  0.618  0.531
S  0.174  0.367  0.368
S  0.175  0.133  0.537

---

In meV per atom, relative to the most stable structure: model a 0; model b 6; model c 52.

---

Model a:
Computed, not measured: a PBEsol-optimized structure of Tl3AsS3 at the meta-GGA SCAN level of DFT.

Values from the calculation:
For the calculated volume, the calculation gives 1441 Å³ per cell. The value obtained for the size of the total moment is 0.000 μB per cell.

a b c (Å): 5.635 12.075 21.187
angles (deg): 90.00 90.00 90.00
Space group Pbca (No. 61)
Inequivalent atoms, fractional coordinates:
Tl  0.045  0.069  0.193
Tl  0.088  0.673  0.474
Tl  0.094  0.223  0.815
As  0.044  0.052  0.583
S  0.114  0.111  0.683
S  0.119  0.630  0.090
S  0.140  0.055  0.917

---

Model b:
Computed, not measured: a PBEsol-optimized structure of Tl3AsS3 at the meta-GGA SCAN level of DFT.

Values from the calculation:
For the calculated volume, the calculation gives 530 Å³ per cell. The value obtained for the size of the total moment is 0.000 μB per cell.

a b c (Å): 9.3979 9.3979 6.9282
angles (deg): 90.00 90.00 120.00
Space group R3m (No. 160, hexagonal axes)
Inequivalent atoms, fractional coordinates:
Tl  0.2054  0.4108  0.0000
As  0.0000  0.0000  0.7543
S  0.2083  0.4166  0.5663

---

In meV per atom, relative to the most stable structure: model a 0; model b 8.

---

Model a:
Computed, not measured: a PBEsol-optimized structure of SbAs3 at the meta-GGA SCAN level of DFT.

Values from the calculation:
For the calculated volume, the calculation gives 88 Å³ per cell. The value obtained for the size of the total moment is 0.000 μB per cell.

a b c (Å): 4.826 3.938 4.880
angles (deg): 90.00 108.89 90.00
Space group P2/m (No. 10)
Inequivalent atoms, fractional coordinates:
Sb  0.000  0.000  0.000
As  0.241  0.500  0.719
As  0.500  0.000  0.500

---

Model b:
Computed, not measured: a PBEsol-optimized structure of SbAs3 at the meta-GGA SCAN level of DFT.

Values from the calculation:
For the calculated volume, the calculation gives 163 Å³ per cell. The value obtained for the size of the total moment is 0.001 μB per cell.

a b c (Å): 3.497 5.073 9.171
angles (deg): 90.00 90.00 90.00
Space group Cmmm (No. 65)
Inequivalent atoms, fractional coordinates:
Sb  0.000  0.000  0.000
As  0.000  0.000  0.500
As  0.000  0.500  0.272

---

Model c:
Computed, not measured: a PBEsol-optimized structure of SbAs3 at the meta-GGA SCAN level of DFT.

Values from the calculation:
For the calculated volume, the calculation gives 179 Å³ per cell. The value obtained for the size of the total moment is 0.000 μB per cell.

a b c (Å): 11.857 3.878 4.112
angles (deg): 90.00 108.92 90.00
Space group C2/m (No. 12)
Inequivalent atoms, fractional coordinates:
Sb  0.000  0.000  0.000
As  0.000  0.500  0.500
As  0.244  0.500  0.699

---

In meV per atom, relative to the most stable structure: model a 8; model b 367; model c 0.